Record 1
# RbSmPtO4

A relaxed structure of RbSmPtO4 (PBE, Alexandria via LeMat-Bulk).

```
RbSmPtO4
1.0
-1.200 -1.130 6.434
6.448 -0.653 -2.340
-3.444 6.579 0.513
Rb Sm Pt O
2 2 2 8
Direct
0.857 0.713 0.107 Rb
0.143 0.287 0.893 Rb
0.500 0.000 0.500 Sm
0.500 0.000 0.000 Sm
0.500 0.500 0.500 Pt
0.000 0.500 0.500 Pt
0.747 0.494 0.668 O
0.318 0.062 0.281 O
0.744 0.062 0.281 O
0.747 0.494 0.326 O
0.253 0.506 0.674 O
0.682 0.938 0.719 O
0.256 0.938 0.719 O
0.253 0.506 0.332 O
```

## Properties
E_form (uncorrected)   -1.6561 eV per atom
V   235 Å³/cell

---

Record 2
# RbSnPtO2

A relaxed structure of RbSnPtO2 (PBE, Alexandria via LeMat-Bulk).

```
RbSnPtO2
1.0
-3.343 2.031 1.161
-0.437 -5.413 8.211
2.332 2.737 1.929
O Rb Sn Pt
2 1 1 1
Direct
0.000 0.000 0.500 O
0.500 0.000 0.000 O
0.000 0.000 0.000 Rb
0.000 0.500 0.000 Sn
0.500 0.500 0.500 Pt
```

## Properties
E_form (uncorrected)   0.9962 eV per atom
V   164 Å³/cell
DOS at the Fermi energy   0.53 states/eV/atom

---

Record 3
# RbSnPtO4

A relaxed structure of RbSnPtO4 (PBE, Alexandria via LeMat-Bulk).

```
RbSnPtO4
1.0
6.552 0.000 0.001
-3.277 6.200 -0.031
0.001 -3.374 5.548
Rb Sn Pt O
2 2 2 8
Direct
0.858 0.716 0.108 Rb
0.142 0.284 0.892 Rb
0.500 0.000 0.500 Sn
0.500 0.000 0.000 Sn
0.500 0.500 0.500 Pt
0.000 0.500 0.500 Pt
0.707 0.414 0.649 O
0.306 0.021 0.260 O
0.715 0.021 0.260 O
0.707 0.414 0.264 O
0.293 0.586 0.736 O
0.694 0.979 0.740 O
0.285 0.979 0.740 O
0.293 0.586 0.351 O
```

## Properties
E_form (uncorrected)   -1.0061 eV per atom
V   225 Å³/cell
DOS at the Fermi energy   0.12 states/eV/atom

---

Record 4
# RbSrPtO3

A relaxed structure of RbSrPtO3 (PBE, Alexandria via LeMat-Bulk).

```
RbSrPtO3
1.0
3.944 0.000 0.000
-1.972 6.919 -0.077
0.000 -2.109 7.839
Rb Sr Pt O
2 2 2 6
Direct
0.356 0.711 0.933 Rb
0.644 0.289 0.067 Rb
0.655 0.311 0.580 Sr
0.345 0.689 0.420 Sr
0.005 0.010 0.284 Pt
0.995 0.990 0.716 Pt
0.855 0.710 0.215 O
0.843 0.686 0.636 O
0.505 0.010 0.314 O
0.157 0.314 0.364 O
0.495 0.990 0.686 O
0.145 0.290 0.785 O
```

## Properties
E_form (uncorrected)   -1.5200 eV per atom
V   213 Å³/cell
DOS at the Fermi energy   0.84 states/eV/atom

---

Record 5
# Rb2SrPtO4

A relaxed structure of Rb2SrPtO4 (PBE, Alexandria via LeMat-Bulk).

```
Rb2SrPtO4
1.0
6.572 0.000 0.000
3.286 7.241 0.000
3.286 0.000 11.692
Rb Sr Pt O
4 2 2 8
Direct
0.191 0.000 0.618 Rb
0.809 0.000 0.382 Rb
0.559 0.500 0.882 Rb
0.941 0.500 0.118 Rb
0.750 0.500 0.500 Sr
0.000 0.000 0.000 Sr
0.250 0.500 0.500 Pt
0.500 0.000 0.000 Pt
0.387 0.807 0.999 O
0.193 0.193 0.001 O
0.806 0.807 0.001 O
0.614 0.193 0.999 O
0.363 0.693 0.501 O
0.557 0.307 0.499 O
0.944 0.693 0.499 O
0.136 0.307 0.501 O
```

## Properties
E_form (uncorrected)   -1.1555 eV per atom
V   556 Å³/cell
DOS at the Fermi energy   0.80 states/eV/atom

---

Record 6
# RbSrPtO2

A relaxed structure of RbSrPtO2 (PBE, Alexandria via LeMat-Bulk).

```
RbSrPtO2
1.0
4.935 0.000 0.000
0.000 7.681 0.000
0.000 -3.840 6.569
Rb Sr Pt O
2 2 2 4
Direct
0.196 0.750 0.500 Rb
0.804 0.250 0.500 Rb
0.500 0.750 0.000 Sr
0.500 0.250 0.000 Sr
0.000 0.000 0.000 Pt
0.000 0.500 0.000 Pt
0.704 0.900 0.799 O
0.704 0.600 0.201 O
0.296 0.400 0.799 O
0.296 0.100 0.201 O
```

## Properties
E_form (uncorrected)   -1.3581 eV per atom
V   249 Å³/cell
DOS at the Fermi energy   0.99 states/eV/atom